First-principles (PBE) data for a geometry-optimized ZrCoHg2 structure, as listed in Alexandria.

Summary:
ΔH_f (0 K), eV per atom: 0.28
Spin magnetization, μB/cell: 3.4

Cell: 3.111 3.111 27.900 Å, 90.00 90.00 120.00°
Fractional coordinates of all 12 atoms:
Zr: 0.000 0.000 0.000
Zr: 0.333 0.667 0.667
Zr: 0.667 0.333 0.333
Co: 0.000 0.000 0.500
Co: 0.333 0.667 0.167
Co: 0.667 0.333 0.833
Hg: 0.000 0.000 0.241
Hg: 0.000 0.000 0.759
Hg: 0.333 0.667 0.425
Hg: 0.333 0.667 0.908
Hg: 0.667 0.333 0.092
Hg: 0.667 0.333 0.575